ZrSbOs2: relaxed, PBE-GGA.

Cell and atoms, written as POSCAR:
```
ZrSbOs2
1.0
4.649 0.000 0.000
2.324 4.026 0.000
2.324 1.342 3.796
Os Sb Zr
2 1 1
Direct
0.000 0.000 0.000
0.250 0.250 0.250
0.500 0.500 0.500
0.750 0.750 0.750
```

Values from the calculation:
Total moment = 0.522 μB per cell
Space group = F-43m
Energy relative to the elements, uncorrected = 404 meV/atom
Crystal system = cubic